(1)
Ac4SI5: relaxed, PBE.

Geometry as CIF:
```
data_Ac4SI5
_chemical_formula_sum 'Ac8 S2 I10'
_symmetry_space_group_name_H-M 'C 1 2/m 1'
_symmetry_Int_Tables_number 12
_cell_length_a 20.484
_cell_length_b 4.348
_cell_length_c 9.521
_cell_angle_alpha 90.00
_cell_angle_beta 105.24
_cell_angle_gamma 90.00
loop_
_symmetry_equiv_pos_as_xyz
'x,y,z'
'-x,-y,-z'
'-x,y,-z'
'x,-y,z'
'x+1/2,y+1/2,z'
'-x+1/2,-y+1/2,-z'
'-x+1/2,y+1/2,-z'
'x+1/2,-y+1/2,z'
loop_
_atom_site_label
_atom_site_fract_x
_atom_site_fract_y
_atom_site_fract_z
Ac1 0.003 0.000 0.289
Ac2 0.148 0.500 0.573
S1 0.000 0.500 0.500
I1 0.000 0.500 0.000
I2 0.164 0.000 0.848
I3 0.175 0.000 0.316
```

Results
**Density**: 6.4 g/cm³
**Total magnetic moment**: 0.000 μB/cell
**Formation energy (no corrections)**: -1.429 eV/atom
**Density of states at the Fermi level**: 5.12 states/eV per cell

***

(2)
Ac2S2I: relaxed, PBE.

Geometry as CIF:
```
data_Ac2S2I
_chemical_formula_sum 'Ac4 S4 I2'
_symmetry_space_group_name_H-M 'P 4/m b m'
_symmetry_Int_Tables_number 127
_symmetry_space_group_name_Hall '-P 4 2ab'
_cell_length_a 9.611
_cell_length_b 9.611
_cell_length_c 4.328
_cell_angle_alpha 90.00
_cell_angle_beta 90.00
_cell_angle_gamma 90.00
loop_
_atom_site_label
_atom_site_fract_x
_atom_site_fract_y
_atom_site_fract_z
Ac1 0.161 0.339 0.000
S1 0.130 0.630 0.000
I1 0.000 0.000 0.500
```

Results
**Density**: 5.4 g/cm³
**Total magnetic moment**: 0.960 μB/cell
**Formation energy (no corrections)**: -1.477 eV/atom
**Density of states at the Fermi level**: 2.46 states/eV per cell